(1)
## TbPuAg (PBE)

Data for TbPuAg after structural relaxation.

Lattice parameters (Å, degrees): 3.530 5.522 7.889 92.06 90.00 108.64
Fractional coordinates of all 6 atoms:
Ag  0.287  0.575  0.369
Ag  0.713  0.425  0.631
Tb  0.558  0.116  0.273
Tb  0.442  0.884  0.727
Pu  0.819  0.639  0.027
Pu  0.181  0.361  0.973

Calculated values
Symmetry: No. 12
Theoretical density in kg/m³: 11650
ΔH_f (0 K) in eV per atom: 0.18
Excess energy over the best structure of this formula in the dataset in meV per atom: 147

---

(2)
## KCrSe (PBE)

Data for KCrSe after structural relaxation.

Lattice parameters (Å, degrees): 6.734 6.734 6.734 147.86 147.86 46.09
Fractional coordinates of all 3 atoms:
Cr  0.066  0.066  0.000
K  0.332  0.332  0.000
Se  0.602  0.602  0.000

Calculated values
Symmetry: No. 107
Theoretical density in kg/m³: 3279
Formation energy without anion corrections in eV/atom: -0.14
Excess energy over the best structure of this formula in the dataset in meV per atom: 215

---

(3)
## YSbTe2Se (PBE)

Data for YSbTe2Se after structural relaxation.

Lattice parameters (Å, degrees): 5.387 5.387 5.414 90.00 90.00 90.00
Fractional coordinates of all 5 atoms:
Y  0.500  0.500  0.500
Sb  0.000  0.000  0.500
Te  0.000  0.500  0.000
Te  0.500  0.000  0.000
Se  0.000  0.000  0.000

Calculated values
Symmetry: No. 123
Theoretical density in kg/m³: 5758
Formation energy without anion corrections in eV/atom: 0.00
Excess energy over the best structure of this formula in the dataset in meV per atom: 0

---

(4)
## RbNa2Cd2 (PBE)

Data for RbNa2Cd2 after structural relaxation.

Lattice parameters (Å, degrees): 4.760 6.373 7.204 103.97 109.29 90.00
Fractional coordinates of all 5 atoms:
Rb  0.000  0.000  0.000
Na  0.346  0.435  0.693
Na  0.654  0.565  0.307
Cd  0.729  0.118  0.457
Cd  0.271  0.882  0.543

Calculated values
Symmetry: No. 12
Theoretical density in kg/m³: 2967
ΔH_f (0 K) in eV per atom: -0.03
Excess energy over the best structure of this formula in the dataset in meV per atom: 7

---

(5)
## PmPaCo2 (PBE)

Data for PmPaCo2 after structural relaxation.

Lattice parameters (Å, degrees): 4.756 4.756 4.756 60.00 60.00 60.00
Fractional coordinates of all 4 atoms:
Pa  0.000  0.000  0.000
Co  0.250  0.250  0.250
Co  0.750  0.750  0.750
Pm  0.500  0.500  0.500

Calculated values
Symmetry: No. 225
Theoretical density in kg/m³: 10783
ΔH_f (0 K) in eV per atom: 0.00
Excess energy over the best structure of this formula in the dataset in meV per atom: 336

---

(6)
## Pr5Nd4In4 (PBE)

Data for Pr5Nd4In4 after structural relaxation.

Lattice parameters (Å, degrees): 5.274 9.319 9.319 85.41 73.56 73.56
Fractional coordinates of all 13 atoms:
Pr  0.690  0.906  0.714
Pr  0.310  0.094  0.286
Pr  0.000  0.000  0.000
Pr  0.596  0.714  0.094
Pr  0.404  0.286  0.906
Nd  0.905  0.479  0.711
Nd  0.616  0.289  0.479
Nd  0.095  0.521  0.289
Nd  0.384  0.711  0.521
In  0.768  0.344  0.121
In  0.232  0.656  0.879
In  0.888  0.879  0.344
In  0.112  0.121  0.656

Calculated values
Symmetry: No. 87
Theoretical density in kg/m³: 6861
ΔH_f (0 K) in eV per atom: -0.31

---

(7)
## SmSnTe (PBE)

Data for SmSnTe after structural relaxation.

Lattice parameters (Å, degrees): 4.279 4.279 10.138 102.18 102.18 90.00
Fractional coordinates of all 6 atoms:
Sm  0.359  0.359  0.718
Sm  0.641  0.641  0.282
Sn  0.000  0.500  0.000
Sn  0.500  0.000  0.000
Te  0.189  0.189  0.378
Te  0.811  0.811  0.622

Calculated values
Symmetry: No. 139
Theoretical density in kg/m³: 7434
Formation energy without anion corrections in eV/atom: -0.99

---

(8)
## RbNaBeSe2 (PBE)

Data for RbNaBeSe2 after structural relaxation.

Lattice parameters (Å, degrees): 5.397 7.561 8.192 103.46 90.00 90.00
Fractional coordinates of all 10 atoms:
Rb  0.240  0.500  0.750
Rb  0.760  0.500  0.250
Na  0.483  0.000  0.250
Na  0.517  0.000  0.750
Be  0.000  0.000  0.000
Be  0.000  0.000  0.500
Se  0.769  0.785  0.960
Se  0.769  0.215  0.540
Se  0.231  0.785  0.460
Se  0.231  0.215  0.040

Calculated values
Symmetry: No. 13
Theoretical density in kg/m³: 2813
Formation energy without anion corrections in eV/atom: -0.91

---

(9)
## Sr2SmP3Rh12 (PBE)

Data for Sr2SmP3Rh12 after structural relaxation.

Lattice parameters (Å, degrees): 6.764 6.764 6.764 84.39 84.39 84.39
Fractional coordinates of all 18 atoms:
Sr  0.617  0.617  0.617
Sr  0.383  0.383  0.383
Sm  0.000  0.000  0.000
P  0.500  0.000  0.000
P  0.000  0.500  0.000
P  0.000  0.000  0.500
Rh  0.361  0.361  0.923
Rh  0.822  0.822  0.336
Rh  0.336  0.822  0.822
Rh  0.923  0.361  0.361
Rh  0.822  0.336  0.822
Rh  0.361  0.923  0.361
Rh  0.639  0.639  0.077
Rh  0.178  0.178  0.664
Rh  0.664  0.178  0.178
Rh  0.077  0.639  0.639
Rh  0.178  0.664  0.178
Rh  0.639  0.077  0.639

Calculated values
Symmetry: No. 166
Theoretical density in kg/m³: 8993
ΔH_f (0 K) in eV per atom: -0.16

---

(10)
## ReSiSe (PBE)

Data for ReSiSe after structural relaxation.

Lattice parameters (Å, degrees): 6.177 6.177 6.177 151.77 151.77 40.35
Fractional coordinates of all 3 atoms:
Re  0.000  0.000  0.000
Se  0.369  0.369  0.000
Si  0.630  0.630  0.000

Calculated values
Symmetry: No. 107
Theoretical density in kg/m³: 9253
Formation energy without anion corrections in eV/atom: 0.29
Excess energy over the best structure of this formula in the dataset in meV per atom: 115

---

(11)
## HoScTeSe (PBE)

Data for HoScTeSe after structural relaxation.

Lattice parameters (Å, degrees): 3.985 3.987 7.491 90.00 105.41 120.01
Fractional coordinates of all 4 atoms:
Ho  0.116  0.956  0.086
Sc  0.490  0.143  0.649
Te  0.974  0.385  0.374
Se  0.298  0.547  0.860

Calculated values
Symmetry: No. 160
Theoretical density in kg/m³: 7049
Formation energy without anion corrections in eV/atom: -1.45

---

(12)
## TbHo6Tm5 (PBE)

Data for TbHo6Tm5 after structural relaxation.

Lattice parameters (Å, degrees): 4.954 7.845 9.902 90.00 90.00 71.54
Fractional coordinates of all 12 atoms:
Tm  0.333  0.333  0.500
Tm  0.667  0.666  0.000
Tm  0.000  0.000  0.500
Tm  0.333  0.334  0.000
Tm  0.667  0.667  0.500
Tb  0.000  0.000  0.000
Ho  0.167  0.666  0.251
Ho  0.167  0.666  0.749
Ho  0.500  0.000  0.749
Ho  0.500  0.000  0.251
Ho  0.833  0.334  0.251
Ho  0.833  0.334  0.749

Calculated values
Symmetry: No. 10
Theoretical density in kg/m³: 9067
ΔH_f (0 K) in eV per atom: 0.02

---

Q: theoretical density of number 3 (YSbTe2Se)?
A: 5758 kg/m³